Density functional theory data (PBE+U) for a relaxed FeP2OF crystal.

```
FeP2OF
1.0
-0.6500 2.3762 3.0606
-3.2747 1.3221 -1.7218
-2.3900 -3.2722 2.0329
O P F Fe
1 2 1 1
direct
0.0000 0.0000 0.5000 O
0.0000 0.5000 0.0000 P
0.5000 0.0000 0.0000 P
0.0000 0.0000 0.0000 F
0.5000 0.5000 0.5000 Fe
```

excess energy over the best structure of this formula in the dataset: 532 meV per atom
crystal system: tetragonal
E: -3.829 eV/atom